[1]
TbCeCo10 | GGA-PBE | relaxed Values from VASP.

Results
DFT formation energy ... -0.112 eV/atom
Total moment ... 1.067 μB/atom
D(E_F) ... 17.6 states/eV per cell

Geometry as Quantum ESPRESSO input:
```
&SYSTEM
  ibrav = 0, nat = 12, ntyp = 3
/
ATOMIC_SPECIES
Tb 158.93 Tb.upf
Ce 140.12 Ce.upf
Co 58.93 Co.upf
CELL_PARAMETERS angstrom
3.978 0.000 0.000
0.000 4.895 0.000
0.000 0.000 8.516
ATOMIC_POSITIONS angstrom
Tb 0.000 0.000 0.000
Ce 0.000 2.448 4.258
Co 0.000 0.000 2.874
Co 0.000 0.000 5.642
Co 0.000 2.448 1.565
Co 0.000 2.448 6.951
Co 1.989 0.000 4.258
Co 1.989 1.189 2.080
Co 1.989 1.189 6.436
Co 1.989 2.448 0.000
Co 1.989 3.706 2.080
Co 1.989 3.706 6.436
```

[2]
Ba3PPt | GGA-PBE | relaxed Values from VASP.

Results
DFT formation energy ... -0.374 eV/atom
Total moment ... 0.000 μB/atom
D(E_F) ... 3.0 states/eV per cell
Energy above the lowest structure with this stoichiometry ... 415 meV/atom

Geometry as Quantum ESPRESSO input:
```
&SYSTEM
  ibrav = 0, nat = 5, ntyp = 3
/
ATOMIC_SPECIES
Ba 137.33 Ba.upf
P 30.97 P.upf
Pt 195.08 Pt.upf
CELL_PARAMETERS angstrom
5.964 0.000 0.000
0.000 5.964 0.000
0.000 0.000 5.964
ATOMIC_POSITIONS angstrom
Ba 0.000 0.000 2.982
Ba 0.000 2.982 0.000
Ba 2.982 0.000 0.000
P 2.982 2.982 2.982
Pt 0.000 0.000 0.000
```

[3]
Nd2SbTe | GGA-PBE | relaxed Values from VASP.

Results
Total moment ... 0.001 μB/atom
D(E_F) ... 10.5 states/eV per cell
Energy above the lowest structure with this stoichiometry ... 54 meV/atom
E_form (uncorrected) ... -1297 meV/atom

Geometry as Quantum ESPRESSO input:
```
&SYSTEM
  ibrav = 0, nat = 12, ntyp = 3
/
ATOMIC_SPECIES
Nd 144.24 Nd.upf
Sb 121.76 Sb.upf
Te 127.60 Te.upf
CELL_PARAMETERS angstrom
4.420 0.000 0.000
-2.210 3.828 0.000
0.000 0.000 23.402
ATOMIC_POSITIONS angstrom
Nd 0.000 0.000 0.000
Nd 0.000 0.000 4.163
Nd 0.000 2.552 15.601
Nd 0.000 2.552 19.764
Nd 2.210 1.276 7.801
Nd 2.210 1.276 11.964
Sb 0.000 0.000 13.754
Sb 0.000 2.552 5.954
Sb 2.210 1.276 21.555
Te 0.000 0.000 17.705
Te 0.000 2.552 9.905
Te 2.210 1.276 2.104
```

[4]
ZnRe2Pt | GGA-PBE | relaxed Values from VASP.

Results
DFT formation energy ... -0.021 eV/atom
Total moment ... 0.000 μB/atom
D(E_F) ... 2.9 states/eV per cell

Geometry as Quantum ESPRESSO input:
```
&SYSTEM
  ibrav = 0, nat = 4, ntyp = 3
/
ATOMIC_SPECIES
Zn 65.41 Zn.upf
Re 186.21 Re.upf
Pt 195.08 Pt.upf
CELL_PARAMETERS angstrom
2.783 0.000 0.000
0.000 3.895 0.000
-0.101 0.000 5.537
ATOMIC_POSITIONS angstrom
Zn 0.000 0.000 0.000
Re 1.444 1.948 1.523
Re 2.642 0.000 2.686
Pt 1.297 1.948 4.313
```

[5]
RbInSb3 | GGA-PBE | relaxed Values from VASP.

Results
Total moment ... 0.000 μB/atom
D(E_F) ... 2.0 states/eV per cell
Energy above the lowest structure with this stoichiometry ... 0 meV/atom
E_form (uncorrected) ... -141 meV/atom

Geometry as Quantum ESPRESSO input:
```
&SYSTEM
  ibrav = 0, nat = 10, ntyp = 3
/
ATOMIC_SPECIES
Rb 85.47 Rb.upf
In 114.82 In.upf
Sb 121.76 Sb.upf
CELL_PARAMETERS angstrom
7.230 0.000 0.000
0.000 9.342 0.000
0.000 0.000 5.875
ATOMIC_POSITIONS angstrom
Rb 0.000 0.846 0.000
Rb 3.615 8.496 2.938
In 0.000 4.949 1.842
In 3.615 4.393 4.780
Sb 0.000 7.145 3.741
Sb 1.780 2.859 2.905
Sb 1.835 6.483 5.843
Sb 3.615 2.197 0.803
Sb 5.395 6.483 5.843
Sb 5.450 2.859 2.905
```

[6]
Pu2ZrOs | GGA-PBE | relaxed Values from VASP.

Results
DFT formation energy ... 0.419 eV/atom
Total moment ... 2.611 μB/atom
D(E_F) ... 40.1 states/eV per cell

Geometry as Quantum ESPRESSO input:
```
&SYSTEM
  ibrav = 0, nat = 12, ntyp = 3
/
ATOMIC_SPECIES
Pu 244.00 Pu.upf
Zr 91.22 Zr.upf
Os 190.23 Os.upf
CELL_PARAMETERS angstrom
3.103 0.000 0.000
-1.551 2.687 0.000
0.000 0.000 31.974
ATOMIC_POSITIONS angstrom
Pu 0.000 0.000 3.068
Pu 0.000 0.000 28.906
Pu 0.000 1.791 18.248
Pu 0.000 1.791 24.384
Pu 1.551 0.896 7.590
Pu 1.551 0.896 13.726
Zr 0.000 0.000 0.000
Zr 0.000 1.791 21.316
Zr 1.551 0.896 10.658
Os 0.000 0.000 15.987
Os 0.000 1.791 5.329
Os 1.551 0.896 26.645
```

[7]
Nd2PaSbN2 | GGA-PBE | relaxed Values from VASP.

Results
Total moment ... 0.001 μB/atom
D(E_F) ... 5.9 states/eV per cell
E_form (uncorrected) ... -1198 meV/atom

Geometry as Quantum ESPRESSO input:
```
&SYSTEM
  ibrav = 0, nat = 6, ntyp = 4
/
ATOMIC_SPECIES
Nd 144.24 Nd.upf
Pa 231.04 Pa.upf
Sb 121.76 Sb.upf
N 14.01 N.upf
CELL_PARAMETERS angstrom
4.446 0.000 0.000
0.000 4.446 0.000
0.000 0.000 6.649
ATOMIC_POSITIONS angstrom
Nd 0.000 0.000 1.593
Nd 0.000 0.000 5.056
Pa 2.223 2.223 0.000
Sb 2.223 2.223 3.324
N 0.000 2.223 0.000
N 2.223 0.000 0.000
```

[8]
Na2CoBOs | GGA-PBE | relaxed Values from VASP.

Results
DFT formation energy ... 1.496 eV/atom
Total moment ... 0.504 μB/atom
D(E_F) ... 5.7 states/eV per cell

Geometry as Quantum ESPRESSO input:
```
&SYSTEM
  ibrav = 0, nat = 5, ntyp = 4
/
ATOMIC_SPECIES
Na 22.99 Na.upf
Co 58.93 Co.upf
B 10.81 B.upf
Os 190.23 Os.upf
CELL_PARAMETERS angstrom
4.725 0.000 0.000
0.000 4.725 0.000
0.000 0.000 3.731
ATOMIC_POSITIONS angstrom
Na 0.000 2.362 0.000
Na 2.362 0.000 0.000
Co 0.000 0.000 1.866
B 0.000 0.000 0.000
Os 2.362 2.362 1.866
```

[9]
LaHo2Sb | GGA-PBE | relaxed Values from VASP.

Results
Total moment ... 0.000 μB/atom
D(E_F) ... 4.6 states/eV per cell
Energy above the lowest structure with this stoichiometry ... 0 meV/atom
E_form (uncorrected) ... -504 meV/atom

Geometry as Quantum ESPRESSO input:
```
&SYSTEM
  ibrav = 0, nat = 4, ntyp = 3
/
ATOMIC_SPECIES
La 138.91 La.upf
Ho 164.93 Ho.upf
Sb 121.76 Sb.upf
CELL_PARAMETERS angstrom
4.886 0.000 0.000
0.000 4.886 0.000
0.000 0.000 4.787
ATOMIC_POSITIONS angstrom
La 0.000 0.000 0.000
Ho 0.000 2.443 2.394
Ho 2.443 0.000 2.394
Sb 2.443 2.443 0.000
```

[10]
Sr2Ga2Si3 | GGA-PBE | relaxed Values from VASP.

Results
Total moment ... 0.000 μB/atom
D(E_F) ... 4.3 states/eV per cell
E_form (uncorrected) ... -281 meV/atom

Geometry as Quantum ESPRESSO input:
```
&SYSTEM
  ibrav = 0, nat = 14, ntyp = 3
/
ATOMIC_SPECIES
Sr 87.62 Sr.upf
Ga 69.72 Ga.upf
Si 28.09 Si.upf
CELL_PARAMETERS angstrom
2.407 -9.421 0.000
2.407 9.421 0.000
0.000 0.000 7.002
ATOMIC_POSITIONS angstrom
Sr 2.407 8.463 5.252
Sr 2.407 6.476 1.751
Sr 2.407 -6.476 5.252
Sr 2.407 -8.463 1.751
Ga 2.407 3.521 0.373
Ga 2.407 3.521 3.128
Ga 2.407 -3.521 3.875
Ga 2.407 -3.521 6.629
Si 2.407 5.295 5.252
Si 2.407 1.066 4.050
Si 2.407 1.066 6.453
Si 2.407 -1.066 0.549
Si 2.407 -1.066 2.952
Si 2.407 -5.295 1.751
```

[11]
MgTe2Os | GGA-PBE | relaxed Values from VASP.

Results
Total moment ... 0.000 μB/atom
D(E_F) ... 3.1 states/eV per cell
E_form (uncorrected) ... 388 meV/atom

Geometry as Quantum ESPRESSO input:
```
&SYSTEM
  ibrav = 0, nat = 4, ntyp = 3
/
ATOMIC_SPECIES
Mg 24.30 Mg.upf
Te 127.60 Te.upf
Os 190.23 Os.upf
CELL_PARAMETERS angstrom
4.954 0.000 0.000
0.000 4.954 0.000
0.000 0.000 3.314
ATOMIC_POSITIONS angstrom
Mg 0.000 0.000 0.000
Te 0.000 2.477 1.657
Te 2.477 0.000 1.657
Os 2.477 2.477 0.000
```

[12]
MgSn3O | GGA-PBE | relaxed Values from VASP.

Results
Total moment ... 0.000 μB/atom
D(E_F) ... 2.8 states/eV per cell
Energy above the lowest structure with this stoichiometry ... 1099 meV/atom
E_form (uncorrected) ... 822 meV/atom

Geometry as Quantum ESPRESSO input:
```
&SYSTEM
  ibrav = 0, nat = 5, ntyp = 3
/
ATOMIC_SPECIES
Mg 24.30 Mg.upf
Sn 118.71 Sn.upf
O 16.00 O.upf
CELL_PARAMETERS angstrom
5.317 0.000 0.000
0.000 5.317 0.000
0.000 0.000 5.317
ATOMIC_POSITIONS angstrom
Mg 0.000 0.000 0.000
Sn 0.000 0.000 2.659
Sn 0.000 2.659 0.000
Sn 2.659 0.000 0.000
O 2.659 2.659 2.659
```

[13]
Ba8Ca2Cd | GGA-PBE | relaxed Values from VASP.

Results
DFT formation energy ... -0.029 eV/atom
Total moment ... 0.000 μB/atom
D(E_F) ... 14.4 states/eV per cell

Geometry as Quantum ESPRESSO input:
```
&SYSTEM
  ibrav = 0, nat = 11, ntyp = 3
/
ATOMIC_SPECIES
Ba 137.33 Ba.upf
Ca 40.08 Ca.upf
Cd 112.41 Cd.upf
CELL_PARAMETERS angstrom
10.956 -3.296 0.000
10.956 3.296 0.000
-0.801 0.000 8.299
ATOMIC_POSITIONS angstrom
Ba 0.433 0.000 2.255
Ba 4.696 0.000 1.202
Ba 6.981 0.000 4.859
Ba 8.967 0.000 0.839
Ba 12.145 0.000 7.460
Ba 14.131 0.000 3.440
Ba 16.416 0.000 7.097
Ba 20.679 0.000 6.044
Ca 2.923 0.000 5.596
Ca 18.189 0.000 2.703
Cd 10.556 0.000 4.149
```

[14]
SrSiB2Ir | GGA-PBE | relaxed Values from VASP.

Results
Total moment ... 0.104 μB/atom
D(E_F) ... 4.9 states/eV per cell
E_form (uncorrected) ... 1492 meV/atom

Geometry as Quantum ESPRESSO input:
```
&SYSTEM
  ibrav = 0, nat = 5, ntyp = 4
/
ATOMIC_SPECIES
Sr 87.62 Sr.upf
Si 28.09 Si.upf
B 10.81 B.upf
Ir 192.22 Ir.upf
CELL_PARAMETERS angstrom
4.068 0.000 0.000
0.000 4.068 0.000
0.000 0.000 5.648
ATOMIC_POSITIONS angstrom
Sr 0.000 0.000 0.000
Si 0.000 0.000 2.824
B 0.000 2.034 2.824
B 2.034 0.000 2.824
Ir 2.034 2.034 0.000
```

[15]
LaNd2AgRu | GGA-PBE | relaxed Values from VASP.

Results
DFT formation energy ... -0.054 eV/atom
Total moment ... 0.000 μB/atom
D(E_F) ... 4.5 states/eV per cell

Geometry as Quantum ESPRESSO input:
```
&SYSTEM
  ibrav = 0, nat = 5, ntyp = 4
/
ATOMIC_SPECIES
La 138.91 La.upf
Nd 144.24 Nd.upf
Ag 107.87 Ag.upf
Ru 101.07 Ru.upf
CELL_PARAMETERS angstrom
5.472 0.000 0.000
0.000 5.472 0.000
0.000 0.000 5.524
ATOMIC_POSITIONS angstrom
La 0.000 0.000 0.000
Nd 0.000 2.736 2.631
Nd 2.736 0.000 2.631
Ag 2.736 2.736 0.680
Ru 0.000 0.000 2.988
```

[16]
NiMoC | GGA-PBE | relaxed Values from VASP.

Results
DFT formation energy ... 0.139 eV/atom
Total moment ... 0.000 μB/atom
D(E_F) ... 3.3 states/eV per cell
Energy above the lowest structure with this stoichiometry ... 85 meV/atom

Geometry as Quantum ESPRESSO input:
```
&SYSTEM
  ibrav = 0, nat = 6, ntyp = 3
/
ATOMIC_SPECIES
Ni 58.69 Ni.upf
Mo 95.94 Mo.upf
C 12.01 C.upf
CELL_PARAMETERS angstrom
4.132 0.000 0.000
0.000 3.053 0.000
-0.855 0.000 5.199
ATOMIC_POSITIONS angstrom
Ni 0.000 0.000 0.000
Ni 1.183 1.527 1.641
Mo 1.238 1.527 4.358
Mo 3.190 0.000 2.511
C 2.102 0.000 0.680
C 3.314 1.527 3.895
```

[17]
Tm4AsS2 | GGA-PBE | relaxed Values from VASP.

Results
Total moment ... 0.000 μB/atom
D(E_F) ... 6.6 states/eV per cell
E_form (uncorrected) ... -1435 meV/atom

Geometry as Quantum ESPRESSO input:
```
&SYSTEM
  ibrav = 0, nat = 14, ntyp = 3
/
ATOMIC_SPECIES
Tm 168.93 Tm.upf
As 74.92 As.upf
S 32.06 S.upf
CELL_PARAMETERS angstrom
14.541 0.000 0.000
0.000 3.851 0.000
-2.854 0.000 5.884
ATOMIC_POSITIONS angstrom
Tm 0.478 0.000 2.722
Tm -0.870 1.926 5.685
Tm 5.286 0.000 0.199
Tm 3.938 1.926 3.162
Tm 7.749 1.926 2.722
Tm 6.401 0.000 5.685
Tm 12.556 1.926 0.199
Tm 11.208 0.000 3.162
As 0.000 0.000 0.000
As 7.271 1.926 0.000
S 1.440 1.926 4.334
S 2.976 0.000 1.550
S 8.710 0.000 4.334
S 10.247 1.926 1.550
```

[18]
LaDyHo2Tl4 | GGA-PBE | relaxed Values from VASP.

Results
DFT formation energy ... -0.348 eV/atom
Total moment ... 0.000 μB/atom
D(E_F) ... 6.8 states/eV per cell

Geometry as Quantum ESPRESSO input:
```
&SYSTEM
  ibrav = 0, nat = 8, ntyp = 4
/
ATOMIC_SPECIES
La 138.91 La.upf
Dy 162.50 Dy.upf
Ho 164.93 Ho.upf
Tl 204.38 Tl.upf
CELL_PARAMETERS angstrom
2.711 1.565 8.909
-2.711 1.565 8.909
0.000 -3.131 8.909
ATOMIC_POSITIONS angstrom
La 0.000 0.000 0.000
Dy 0.000 0.000 13.364
Ho 0.000 0.000 6.661
Ho 0.000 0.000 20.066
Tl 0.000 0.000 3.402
Tl 0.000 0.000 10.094
Tl 0.000 0.000 16.634
Tl 0.000 0.000 23.326
```

[19]
LaLuInRh | GGA-PBE | relaxed Values from VASP.

Results
DFT formation energy ... -0.489 eV/atom
Total moment ... 0.002 μB/atom
D(E_F) ... 14.3 states/eV per cell

Geometry as Quantum ESPRESSO input:
```
&SYSTEM
  ibrav = 0, nat = 16, ntyp = 4
/
ATOMIC_SPECIES
La 138.91 La.upf
Lu 174.97 Lu.upf
In 114.82 In.upf
Rh 102.91 Rh.upf
CELL_PARAMETERS angstrom
7.335 0.000 0.000
0.000 7.335 0.000
0.000 0.000 7.335
ATOMIC_POSITIONS angstrom
La 0.000 0.000 0.000
La 0.000 3.667 3.667
La 3.667 0.000 3.667
La 3.667 3.667 0.000
Lu 0.000 0.000 3.667
Lu 0.000 3.667 0.000
Lu 3.667 0.000 0.000
Lu 3.667 3.667 3.667
In 1.834 1.834 1.834
In 1.834 5.501 5.501
In 5.501 1.834 5.501
In 5.501 5.501 1.834
Rh 1.834 1.834 5.501
Rh 1.834 5.501 1.834
Rh 5.501 1.834 1.834
Rh 5.501 5.501 5.501
```

[20]
La2DyZn2 | GGA-PBE | relaxed Values from VASP.

Results
DFT formation energy ... -0.214 eV/atom
Total moment ... 0.000 μB/atom
D(E_F) ... 10.7 states/eV per cell

Geometry as Quantum ESPRESSO input:
```
&SYSTEM
  ibrav = 0, nat = 10, ntyp = 3
/
ATOMIC_SPECIES
La 138.91 La.upf
Dy 162.50 Dy.upf
Zn 65.41 Zn.upf
CELL_PARAMETERS angstrom
3.675 0.000 0.000
0.000 20.076 0.000
0.000 0.000 3.626
ATOMIC_POSITIONS angstrom
La 0.000 3.607 0.000
La 0.000 16.469 0.000
La 1.838 6.431 0.000
La 1.838 13.645 0.000
Dy 0.000 0.000 0.000
Dy 1.838 10.038 0.000
Zn 0.000 8.412 1.813
Zn 0.000 11.663 1.813
Zn 1.838 1.626 1.813
Zn 1.838 18.450 1.813
```